The following is a PBE calculation of a geometry-optimized Ga2FeIrBr structure, from Alexandria.

Cell: 4.636 4.636 4.459 Å, 90.00 90.00 90.00°
Atoms (fractional coordinates):
Ga 0.000 0.500 0.000
Ga 0.500 0.000 0.000
Fe 0.000 0.000 0.000
Ir 0.500 0.500 0.500
Br 0.000 0.000 0.500

space group = P4/mmm (123)
formation energy without anion corrections = 1.0173 eV/atom
volume = 95.8 Å³ per cell
Fermi-level density of states = 7.75 states/eV per cell
size of the total moment = 0.843 μB/f.u.

***

The following is a PBE calculation of a geometry-optimized AcPAu4 structure, from Alexandria.

Cell: 5.689 5.689 5.689 Å, 60.00 60.00 60.00°
Atoms (fractional coordinates):
Ac 0.000 0.000 0.000
P 0.750 0.750 0.750
Au 0.376 0.376 0.376
Au 0.376 0.376 0.873
Au 0.376 0.873 0.376
Au 0.873 0.376 0.376

space group = F-43m (216)
volume = 130.2 Å³ per cell
Fermi-level density of states = 0.90 states/eV per cell
size of the total moment = 0.000 μB/f.u.
calculated total energy = -24.7 eV/cell